Below is a geometry-optimized Al2Cd2O5 structure, with properties calculated at the PBE level.

Values from the calculation:
- ΔE to the lowest computed polymorph: 1090.7 meV/atom

Geometry as extended XYZ:
```
9
Lattice="-3.345 -7.748 -3.823 2.863 -1.752 1.045 -1.597 -0.804 3.027" Properties=species:S:1:pos:R:3 pbc="T T T"
Al 0.000 0.000 0.000
Al -1.673 -3.874 -1.911
Cd -0.230 -3.278 1.049
Cd -1.848 -7.026 -0.800
O 1.030 -1.805 0.064
O -1.512 -7.694 -2.842
O -1.200 -1.331 1.055
O -3.742 -7.221 -1.851
O -1.039 -5.152 0.125
```

---

Below is a geometry-optimized BaOsPt structure, with properties calculated at the PBE level.

Values from the calculation:
- Size of the total moment: 1.99 μB/f.u.
- ΔE to the lowest computed polymorph: 811.8 meV/atom

Geometry as extended XYZ:
```
3
Lattice="0.023 -4.786 -0.753 -2.750 -1.915 -3.499 2.069 -1.815 -3.987" Properties=species:S:1:pos:R:3 pbc="T T T"
Ba 0.000 0.000 0.000
Os -0.164 -2.129 -2.060
Pt -0.493 -6.386 -6.179
```

---

Below is a geometry-optimized Zn2SiSnAs4 structure, with properties calculated at the PBE level.

Values from the calculation:
- E_tot: -32.1 eV per formula unit

Geometry as extended XYZ:
```
8
Lattice="-2.902 2.902 5.729 2.902 -2.902 5.729 2.902 2.902 -5.729" Properties=species:S:1:pos:R:3 pbc="T T T"
As 1.423 -1.332 4.206
As 1.332 1.423 7.252
As 1.570 1.479 1.523
As 1.479 4.235 -1.523
Si 2.902 0.000 2.865
Sn 0.000 0.000 0.000
Zn 0.000 0.000 5.729
Zn 0.000 2.902 2.865
```

---

Below is a geometry-optimized HfScBe2Si2 structure, with properties calculated at the PBE level.

Values from the calculation:
- E_tot: -38.4 eV per formula unit
- Size of the total moment: 0.01 μB/f.u.

Geometry as extended XYZ:
```
6
Lattice="3.727 0.000 0.000 -1.864 3.228 0.000 0.000 0.000 7.253" Properties=species:S:1:pos:R:3 pbc="T T T"
Be 1.864 1.076 1.751
Be 0.000 2.152 5.502
Hf 0.000 0.000 0.000
Sc 0.000 0.000 3.627
Si 0.000 2.152 1.814
Si 1.864 1.076 5.439
```

---

Below is a geometry-optimized PrHoSc structure, with properties calculated at the PBE level.

Values from the calculation:
- ΔE_f: 673 meV per atom
- Size of the total moment: 0.28 μB/f.u.
- ΔE to the lowest computed polymorph: 0.0 meV/atom

Geometry as extended XYZ:
```
3
Lattice="0.000 3.749 3.749 3.749 0.000 3.749 3.749 3.749 0.000" Properties=species:S:1:pos:R:3 pbc="T T T"
Ho 1.875 1.875 1.875
Pr 5.624 5.624 5.624
Sc 0.000 0.000 0.000
```

---

Below is a geometry-optimized ZnSnSO structure, with properties calculated at the PBE level.

Values from the calculation:
- ΔE to the lowest computed polymorph: 32.2 meV/atom

Geometry as extended XYZ:
```
16
Lattice="5.841 0.000 0.000 0.000 8.293 0.000 0.000 0.000 6.953" Properties=species:S:1:pos:R:3 pbc="T T T"
O 3.682 2.111 0.781
O 2.160 6.257 2.696
O 5.080 6.182 4.257
O 0.761 2.036 6.172
S 4.942 6.926 0.967
S 0.899 2.780 2.510
S 3.820 1.366 4.443
S 2.021 5.513 5.986
Sn 1.811 1.140 0.791
Sn 4.031 5.287 2.685
Sn 1.110 7.153 4.268
Sn 4.731 3.006 6.161
Zn 1.417 6.670 0.925
Zn 4.424 2.524 2.551
Zn 1.503 1.623 4.402
Zn 4.338 5.769 6.028
```

---

Below is a geometry-optimized KTmO3 structure, with properties calculated at the PBE level.

Values from the calculation:
- E_tot: -29.6 eV per formula unit
- Size of the total moment: 2.00 μB/f.u.

Geometry as extended XYZ:
```
20
Lattice="5.847 0.000 0.000 0.000 5.827 0.000 0.000 0.000 10.289" Properties=species:S:1:pos:R:3 pbc="T T T"
K 2.924 0.000 0.000
K 0.000 2.913 0.000
K 2.924 0.000 5.145
K 0.000 2.913 5.145
O 4.360 1.485 1.451
O 4.411 4.398 1.451
O 1.435 1.536 2.572
O 1.489 4.450 2.572
O 4.360 1.485 3.694
O 4.411 4.398 3.694
O 1.436 1.429 6.596
O 1.487 4.342 6.596
O 4.359 1.377 7.717
O 4.412 4.290 7.717
O 1.436 1.429 8.838
O 1.487 4.342 8.838
Tm 5.615 0.047 2.572
Tm 3.156 2.960 2.572
Tm 2.691 2.867 7.717
Tm 0.233 5.780 7.717
```

---

Below is a geometry-optimized TbDy2Se3 structure, with properties calculated at the PBE level.

Values from the calculation:
- E_tot: -34.8 eV per formula unit
- Size of the total moment: 0.03 μB/f.u.

Geometry as extended XYZ:
```
6
Lattice="4.062 0.000 0.000 -2.031 3.518 0.000 0.000 0.000 10.018" Properties=species:S:1:pos:R:3 pbc="T T T"
Dy 2.031 1.173 3.340
Dy 0.000 2.345 6.678
Se 0.000 2.345 1.685
Se 0.000 0.000 5.009
Se 2.031 1.173 8.332
Tb 0.000 0.000 0.000
```

---

Below is a geometry-optimized FeCl3 structure, with properties calculated at the PBE level.

Values from the calculation:
- E_tot: -16.6 eV per formula unit
- Size of the total moment: 4.98 μB/f.u.

Geometry as extended XYZ:
```
24
Lattice="-1.100 5.673 1.900 -0.545 -4.663 3.869 16.915 1.768 4.513" Properties=species:S:1:pos:R:3 pbc="T T T"
Cl 0.808 0.319 2.224
Cl 0.917 -2.942 3.092
Cl 0.063 -0.613 5.383
Cl 3.941 2.475 1.841
Cl 3.043 4.458 4.432
Cl 3.277 1.110 4.866
Cl 6.384 1.080 3.908
Cl 6.614 -2.275 4.360
Cl 5.715 -0.273 6.947
Cl 9.753 -0.611 4.032
Cl 8.887 1.684 6.376
Cl 9.014 -1.607 7.190
Cl 11.871 4.961 4.584
Cl 11.993 1.682 5.413
Cl 11.132 3.985 7.740
Cl 15.378 0.232 5.501
Cl 14.478 2.174 8.112
Cl 14.724 -1.170 8.502
Fe 0.000 0.000 0.000
Fe -0.730 -1.217 3.213
Fe 4.902 -0.629 4.715
Fe 4.763 2.821 4.071
Fe 10.323 3.402 5.554
Fe 10.554 -0.038 6.223
```

---

Below is a geometry-optimized TlPtNO structure, with properties calculated at the PBE level.

Values from the calculation:
- Size of the total moment: 0.00 μB/f.u.
- ΔE to the lowest computed polymorph: 223.7 meV/atom

Geometry as extended XYZ:
```
8
Lattice="3.697 0.000 0.000 0.000 5.195 0.000 0.000 0.000 6.659" Properties=species:S:1:pos:R:3 pbc="T T T"
N 0.000 4.410 2.071
N 0.000 1.813 4.588
O 1.849 2.209 1.397
O 1.849 4.806 5.262
Pt 0.000 2.578 2.781
Pt 0.000 5.176 3.878
Tl 1.849 5.110 0.931
Tl 1.849 2.513 5.728
```

---

Below is a geometry-optimized BaMgNiPb structure, with properties calculated at the PBE level.

Values from the calculation:
- Size of the total moment: 0.36 μB/f.u.
- ΔE to the lowest computed polymorph: 45.1 meV/atom

Geometry as extended XYZ:
```
4
Lattice="4.902 1.166 1.779 0.612 3.121 4.294 1.741 -2.093 4.598" Properties=species:S:1:pos:R:3 pbc="T T T"
Ba 1.814 0.549 2.668
Mg 5.441 1.646 8.004
Ni 3.627 1.097 5.336
Pb 0.000 0.000 0.000
```

---

Below is a geometry-optimized Pu3CuS6 structure, with properties calculated at the PBE level.

Values from the calculation:
- E_tot: -84.9 eV per formula unit
- Size of the total moment: 13.00 μB/f.u.

Geometry as extended XYZ:
```
20
Lattice="5.288 -6.498 0.000 5.288 6.498 0.000 0.000 0.000 6.318" Properties=species:S:1:pos:R:3 pbc="T T T"
Cu 5.288 -2.556 2.938
Cu 5.288 2.556 6.097
Pu 3.399 -1.344 0.169
Pu 7.176 -1.344 0.169
Pu 5.288 -5.083 0.690
Pu 3.399 1.344 3.328
Pu 7.176 1.344 3.328
Pu 5.288 5.083 3.849
S 3.467 -3.485 1.893
S 7.108 -3.485 1.893
S 1.706 -0.373 2.011
S 8.869 -0.373 2.011
S 5.288 -0.434 2.027
S 5.288 2.871 2.086
S 3.467 3.485 5.052
S 7.108 3.485 5.052
S 1.706 0.373 5.170
S 8.869 0.373 5.170
S 5.288 0.434 5.186
S 5.288 -2.871 5.245
```